This record from the Alexandria database describes a geometry-optimized MgTaSb2 structure. The functional is PBE-GGA.

abc: 6.528 6.528 7.826
angles: 65.35 65.35 90.00
Positions (direct):
Ta (0.750, 0.250, 0.500)
Sb (0.647, 0.125, 0.250)
Mg (0.250, 0.750, 0.500)
Ta (0.000, 0.000, 0.000)
Sb (0.103, 0.625, 0.250)
Sb (0.875, 0.897, 0.750)
Mg (0.500, 0.500, 0.000)
Sb (0.375, 0.353, 0.750)

Values from the calculation:
N(E_F)   5.7 states/eV per cell
Calculated volume   134.7 Å³/f.u.
SG   No. 122
Electronic total energy   -40.35 eV/cell

***

This record from the Alexandria database describes a geometry-optimized MgTaSb structure. The functional is PBE-GGA.

abc: 5.393 5.393 5.393
angles: 141.49 141.49 55.59
Positions (direct):
Ta (0.672, 0.672, 0.000)
Sb (0.325, 0.325, 0.000)
Mg (0.003, 0.003, 0.000)

Values from the calculation:
N(E_F)   2.6 states/eV per cell
E above lowest polymorph   0.272 eV per atom
Calculated volume   60.3 Å³/f.u.
SG   No. 107
Electronic total energy   -17.20 eV/cell

***

This record from the Alexandria database describes a geometry-optimized MgTa2Sb structure. The functional is PBE-GGA.

abc: 3.594 3.594 6.055
angles: 90.00 90.00 90.00
Positions (direct):
Ta (0.000, 0.000, 0.520)
Sb (0.500, 0.500, 0.750)
Ta (0.000, 0.000, 0.980)
Mg (0.500, 0.500, 0.250)

Values from the calculation:
N(E_F)   2.9 states/eV per cell
E above lowest polymorph   0.275 eV per atom
Calculated volume   78.2 Å³/f.u.
SG   No. 123
Electronic total energy   -28.10 eV/cell

***

This record from the Alexandria database describes a geometry-optimized MgTaSb structure. The functional is PBE-GGA.

abc: 4.929 4.929 3.006
angles: 90.00 90.00 120.00
Positions (direct):
Mg (0.000, 0.000, 0.000)
Sb (0.333, 0.667, 0.500)
Ta (0.667, 0.333, 0.500)

Values from the calculation:
N(E_F)   4.0 states/eV per cell
E above lowest polymorph   0.461 eV per atom
Calculated volume   63.3 Å³/f.u.
SG   No. 187
Electronic total energy   -16.64 eV/cell

***

This record from the Alexandria database describes a geometry-optimized Mg3TaSb structure. The functional is PBE-GGA.

abc: 5.361 5.361 5.361
angles: 90.00 90.00 90.00
Positions (direct):
Mg (0.000, 0.000, 0.500)
Sb (0.500, 0.500, 0.500)
Mg (0.500, 0.000, 0.000)
Mg (0.000, 0.500, 0.000)
Ta (0.000, 0.000, 0.000)

Values from the calculation:
N(E_F)   3.4 states/eV per cell
E above lowest polymorph   0.053 eV per atom
Calculated volume   154.1 Å³/f.u.
SG   No. 221
Electronic total energy   -14.58 eV/cell

***

This record from the Alexandria database describes a geometry-optimized MgTaSb2 structure. The functional is PBE-GGA.

abc: 3.583 3.585 7.500
angles: 66.92 90.00 90.00
Positions (direct):
Sb (0.000, 0.944, 0.026)
Mg (0.500, 0.750, 0.750)
Ta (0.500, 0.250, 0.250)
Sb (0.000, 0.556, 0.474)

Values from the calculation:
N(E_F)   1.9 states/eV per cell
Calculated volume   88.6 Å³/f.u.
SG   No. 10
Electronic total energy   -21.73 eV/cell

***

This record from the Alexandria database describes a geometry-optimized MgTaSb2 structure. The functional is PBE-GGA.

abc: 3.917 3.917 5.840
angles: 90.00 90.00 90.00
Positions (direct):
Mg (0.500, 0.500, 0.781)
Ta (0.000, 0.000, 0.466)
Sb (0.500, 0.500, 0.306)
Sb (0.000, 0.000, 0.948)

Values from the calculation:
N(E_F)   2.5 states/eV per cell
Calculated volume   89.6 Å³/f.u.
SG   No. 99
Electronic total energy   -21.27 eV/cell

***

This record from the Alexandria database describes a geometry-optimized MgTa2Sb structure. The functional is PBE-GGA.

abc: 3.050 3.050 9.358
angles: 90.00 90.00 105.68
Positions (direct):
Mg (0.000, 0.000, 0.477)
Ta (0.000, 0.000, 0.012)
Ta (0.500, 0.500, 0.235)
Sb (0.500, 0.500, 0.776)

Values from the calculation:
N(E_F)   3.6 states/eV per cell
E above lowest polymorph   0.079 eV per atom
Calculated volume   83.8 Å³/f.u.
SG   No. 35
Electronic total energy   -28.88 eV/cell